KRbPAu | PBE-GGA | optimized geometry

POSCAR file:
```
KRbPAu
1.0
-3.672 -0.752 -5.030
4.314 -4.081 -2.540
-1.698 -4.422 4.221
Au K P Rb
2 2 2 2
direct
0.000 0.000 0.500
0.000 0.500 0.500
0.179 0.750 0.023
0.821 0.250 0.977
0.766 0.750 0.252
0.234 0.250 0.748
0.470 0.250 0.318
0.530 0.750 0.682
```

Calculated values
- V (Å³ per cell) = 246
- SG = P2_1/m, No. 11
- E (eV for the cell shown) = -25.2

***

TmCdPt | PBE-GGA | optimized geometry

POSCAR file:
```
TmCdPt
1.0
0.000 3.300 3.300
3.300 0.000 3.300
3.300 3.300 0.000
Cd Pt Tm
1 1 1
direct
0.250 0.250 0.250
0.000 0.000 0.000
0.750 0.750 0.750
```

Calculated values
- V (Å³ per cell) = 72
- SG = F-43m, No. 216
- formation enthalpy at 0 K (eV/atom) = -0.801
- magnetization (μB/f.u.) = 0.0

***

YZrGaFe | PBE-GGA | optimized geometry

POSCAR file:
```
YZrGaFe
1.0
0.000 3.299 3.299
3.299 0.000 3.299
3.299 3.299 0.000
Fe Ga Y Zr
1 1 1 1
direct
0.750 0.750 0.750
0.000 0.000 0.000
0.250 0.250 0.250
0.500 0.500 0.500
```

Calculated values
- V (Å³ per cell) = 72
- SG = F-43m, No. 216
- magnetization (μB/f.u.) = 0.0
- E (eV for the cell shown) = -26.3

***

Which value of V does entry 3 give? 72 Å³ per cell